Entry from the Alexandria database: a relaxed structure of Y2NiMo (PBE-GGA).

Computed properties:
Symmetry ... I-42d (122)
Calculated formation energy ... 0.499 eV/atom
Energy relative to the lowest polymorph listed for this composition ... 0.464 eV/atom

```
Y2NiMo
1.0
-2.350 -6.037 -3.933
6.966 -2.961 0.383
1.568 -5.905 0.824
Y Ni Mo
4 2 2
Direct
0.590 0.125 0.250
0.160 0.625 0.250
0.375 0.410 0.750
0.875 0.840 0.750
0.500 0.500 0.000
0.250 0.750 0.500
0.000 0.000 0.000
0.750 0.250 0.500
```

Entry from the Alexandria database: a relaxed structure of ZnAgSb (PBE-GGA).

Computed properties:
Uncorrected formation energy ... 60 meV per atom
Symmetry ... C2/m (12)

```
ZnAgSb
1.0
-2.182 -2.419 -3.215
0.313 -4.641 -0.096
-8.785 1.699 1.321
Ag Zn Sb
2 2 2
Direct
0.710 0.611 0.932
0.290 0.389 0.068
0.170 0.615 0.400
0.830 0.385 0.600
0.950 0.157 0.264
0.050 0.843 0.736
```

Entry from the Alexandria database: a relaxed structure of BaZnAu3 (PBE-GGA).

Computed properties:
Symmetry ... Pm-3m (221)
Calculated formation energy ... 0.655 eV/atom
Energy relative to the lowest polymorph listed for this composition ... 1.129 eV/atom

```
BaZnAu3
1.0
6.166 0.000 0.000
0.000 6.166 0.000
0.000 0.000 6.166
Zn Au Ba
1 3 1
Direct
0.500 0.500 0.500
0.000 0.500 0.000
0.000 0.000 0.500
0.500 0.000 0.000
0.000 0.000 0.000
```

Entry from the Alexandria database: a relaxed structure of VTc2S2 (PBE-GGA).

Computed properties:
Uncorrected formation energy ... 17 meV per atom
Symmetry ... P4/mbm (127)
Energy relative to the lowest polymorph listed for this composition ... 0.000 eV/atom

```
VTc2S2
1.0
-1.668 -5.296 -3.813
4.408 -3.817 3.372
-2.137 -0.737 1.959
S Tc V
4 4 2
Direct
0.339 0.839 0.000
0.839 0.661 0.000
0.661 0.161 0.000
0.161 0.339 0.000
0.149 0.649 0.500
0.649 0.851 0.500
0.851 0.351 0.500
0.351 0.149 0.500
0.000 0.000 0.000
0.500 0.500 0.000
```

Entry from the Alexandria database: a relaxed structure of BaCoRu2 (PBE-GGA).

Computed properties:
Symmetry ... Pmmm (47)
Calculated formation energy ... 1.140 eV/atom
Energy relative to the lowest polymorph listed for this composition ... 0.814 eV/atom

```
BaCoRu2
1.0
-1.244 -1.963 2.078
4.352 -2.079 0.640
0.985 3.163 3.579
Ba Co Ru
1 1 2
Direct
0.500 0.000 0.500
0.000 0.500 0.500
0.000 0.000 0.000
0.500 0.500 0.000
```

Entry from the Alexandria database: a relaxed structure of Na2Mn2NbS6 (PBE-GGA).

Computed properties:
Uncorrected formation energy ... -836 meV per atom
Symmetry ... C2/m (12)

```
Na2Mn2NbS6
1.0
5.887 -0.046 0.082
-2.949 5.095 0.082
-1.001 -1.720 6.861
Na Mn Nb S
2 2 1 6
Direct
0.837 0.163 0.000
0.163 0.837 0.000
0.341 0.659 0.500
0.659 0.341 0.500
0.000 0.000 0.500
0.707 0.707 0.707
0.059 0.416 0.697
0.293 0.293 0.293
0.416 0.059 0.697
0.941 0.584 0.303
0.584 0.941 0.303
```